(1)
GGA-PBE AgRuIN2, relaxed; calculated volume = 17.99 Å³/atom; formation energy without anion corrections = 889.9 meV per atom; energy relative to the lowest polymorph listed for this composition = 0.0 meV per atom; DOS at the Fermi energy = 3.973 states/eV/cell
1.0
3.898 0.000 0.000
0.000 3.898 0.000
0.000 0.000 5.921
Ag Ru I N
1 1 1 2
Cartesian
0.000 0.000 0.000
1.949 1.949 2.960
1.949 1.949 0.000
0.000 1.949 2.960
1.949 0.000 2.960

=====

(2)
GGA-PBE ZnPd4Au5, relaxed; calculated volume = 17.74 Å³/atom; energy of formation = -0.83 eV/f.u.; energy relative to the lowest polymorph listed for this composition = 32.7 meV per atom; DOS at the Fermi energy = 3.171 states/eV/cell
1.0
7.092 -2.086 0.000
7.092 2.086 0.000
-3.117 0.000 5.994
Zn Pd Au
1 4 5
Cartesian
0.000 0.000 0.000
1.175 0.000 2.410
4.451 0.000 4.619
6.615 0.000 1.375
9.891 0.000 3.584
-1.559 0.000 2.997
1.696 0.000 5.220
3.889 0.000 1.856
7.177 0.000 4.138
9.370 0.000 0.774

=====

(3)
GGA-PBE CrB4Mo, relaxed; calculated volume = 8.40 Å³/atom; energy of formation = -1.83 eV/f.u.; energy relative to the lowest polymorph listed for this composition = 23.0 meV per atom; DOS at the Fermi energy = 3.276 states/eV/cell
1.0
-1.509 2.611 3.197
1.509 -2.611 3.197
1.509 2.611 -3.197
Cr B Mo
1 4 1
Cartesian
0.000 0.000 0.000
1.509 -0.870 1.579
1.509 0.870 1.579
0.000 1.741 1.619
0.000 3.481 1.619
0.000 0.000 3.197

=====

(4)
GGA-PBE Ba3Ge5Br12, relaxed; calculated volume = 37.39 Å³/atom; formation energy without anion corrections = -841.6 meV per atom; DOS at the Fermi energy = 41.731 states/eV/cell
1.0
-9.077 9.077 9.077
9.077 -9.077 9.077
9.077 9.077 -9.077
Ba Ge Br
12 20 48
Cartesian
4.538 2.269 0.000
9.077 4.538 -2.269
2.269 0.000 4.538
11.346 0.000 4.538
0.000 4.538 2.269
4.538 -2.269 9.077
4.538 11.346 0.000
9.077 4.538 6.807
-2.269 9.077 4.538
6.807 9.077 4.538
0.000 4.538 11.346
4.538 6.807 9.077
0.000 0.000 0.000
4.538 4.538 -4.538
4.538 -4.538 4.538
9.077 0.000 0.000
13.615 2.269 0.000
9.077 -4.538 6.807
6.807 9.077 -4.538
6.807 0.000 4.538
4.538 6.807 0.000
9.077 4.538 2.269
-4.538 4.538 4.538
0.000 9.077 0.000
0.000 0.000 9.077
4.538 4.538 4.538
0.000 4.538 6.807
4.538 2.269 9.077
2.269 9.077 4.538
2.269 0.000 13.615
0.000 13.615 2.269
-4.538 6.807 9.077
2.719 -0.401 1.114
10.896 5.652 -4.939
11.795 0.401 1.114
10.896 -3.425 4.939
8.676 -1.114 2.719
14.016 -1.819 3.425
1.114 2.719 -0.401
12.501 4.137 -1.819
5.652 4.939 -1.819
7.963 2.719 0.401
-0.401 1.114 2.719
4.939 -1.819 5.652
8.676 7.963 -2.719
4.939 1.819 3.425
5.652 -4.939 10.896
7.963 -2.719 8.676
3.425 4.939 1.819
10.190 6.358 0.401
4.939 10.896 -3.425
8.676 1.114 6.358
2.719 8.676 -1.114
10.896 3.425 4.137
1.819 3.425 4.939
2.719 0.401 7.963
6.358 8.676 1.114
7.257 5.652 4.137
-1.819 5.652 4.939
6.358 0.401 10.190
0.401 7.963 2.719
4.137 -1.819 12.501
-1.114 2.719 8.676
5.652 4.137 7.257
1.114 11.795 0.401
3.425 14.016 -1.819
4.137 7.257 5.652
0.401 1.114 11.795
4.137 10.896 3.425
9.478 7.963 6.358
1.114 6.358 8.676
3.425 4.137 10.896
-3.425 4.939 10.896
7.963 6.358 9.478
-4.939 10.896 5.652
0.401 10.190 6.358
-1.819 12.501 4.137
-2.719 8.676 7.963
-1.819 3.425 14.016
6.358 9.478 7.963

=====

(5)
GGA-PBE TaFeOs2, relaxed; calculated volume = 14.80 Å³/atom; energy of formation = 0.65 eV/f.u.; DOS at the Fermi energy = 4.210 states/eV/cell
1.0
0.000 3.093 3.093
3.093 0.000 3.093
3.093 3.093 0.000
Ta Fe Os
1 1 2
Cartesian
0.000 0.000 0.000
1.547 1.547 1.547
3.093 3.093 3.093
4.640 4.640 4.640

=====

(6)
GGA-PBE MgTc3F, relaxed; calculated volume = 23.51 Å³/atom; formation energy without anion corrections = 2179.1 meV per atom; energy relative to the lowest polymorph listed for this composition = 1395.7 meV per atom; DOS at the Fermi energy = 5.795 states/eV/cell
1.0
4.899 0.000 0.000
0.000 4.899 0.000
0.000 0.000 4.899
Mg Tc F
1 3 1
Cartesian
0.000 0.000 0.000
0.000 0.000 2.449
0.000 2.449 0.000
2.449 0.000 0.000
2.449 2.449 2.449

=====

(7)
GGA-PBE K3CeAl2O6, relaxed; calculated volume = 19.62 Å³/atom; formation energy without anion corrections = -2351.9 meV per atom; DOS at the Fermi energy = 4.793 states/eV/cell
1.0
6.101 0.000 0.000
-3.050 5.283 0.000
0.000 0.000 7.304
K Ce Al O
3 1 2 6
Cartesian
0.000 0.000 0.000
0.000 3.522 5.434
3.050 1.761 1.870
0.000 0.000 3.652
0.000 3.522 2.101
3.050 1.761 5.203
0.000 1.811 2.170
-1.482 4.378 2.170
1.568 0.905 5.133
1.482 4.378 2.170
4.532 0.905 5.133
3.050 3.472 5.133

=====

(8)
GGA-PBE MgHPd3, relaxed; calculated volume = 13.23 Å³/atom; energy relative to the lowest polymorph listed for this composition = 63.9 meV per atom; DOS at the Fermi energy = 3.249 states/eV/cell
1.0
4.648 0.000 0.000
0.000 5.713 0.000
-0.110 0.000 4.984
Mg H Pd
2 2 6
Cartesian
1.098 1.428 1.684
3.440 4.285 3.299
1.913 4.285 0.041
2.624 1.428 4.943
1.059 0.024 4.149
1.059 2.833 4.149
1.123 4.285 1.699
3.414 1.428 3.284
3.479 2.880 0.835
3.479 5.689 0.835

=====

(9)
GGA-PBE SrAc5In6, relaxed; calculated volume = 34.53 Å³/atom; energy of formation = -5.06 eV/f.u.; DOS at the Fermi energy = 10.161 states/eV/cell
1.0
2.904 -8.737 0.000
2.904 8.737 0.000
0.000 0.000 8.166
Sr Ac In
1 5 6
Cartesian
0.000 0.000 0.000
0.000 0.000 4.083
2.904 2.933 4.083
2.904 2.864 0.000
2.904 -2.864 0.000
2.904 -2.933 4.083
2.904 5.847 2.013
2.904 5.847 6.153
2.904 0.000 2.046
2.904 0.000 6.120
2.904 -5.847 2.013
2.904 -5.847 6.153

=====

(10)
GGA-PBE Cd2BI, relaxed; calculated volume = 24.36 Å³/atom; formation energy without anion corrections = 1229.3 meV per atom; energy relative to the lowest polymorph listed for this composition = 701.9 meV per atom; DOS at the Fermi energy = 5.393 states/eV/cell
1.0
0.000 3.652 3.652
3.652 0.000 3.652
3.652 3.652 0.000
Cd B I
2 1 1
Cartesian
1.826 1.826 1.826
5.479 5.479 5.479
0.000 0.000 0.000
3.652 3.652 3.652

=====

(11)
GGA-PBE CeTm12Sc7, relaxed; calculated volume = 28.74 Å³/atom; energy of formation = 3.45 eV/f.u.; DOS at the Fermi energy = 40.081 states/eV/cell
1.0
7.237 4.178 3.168
-7.237 4.178 3.168
0.000 -8.356 3.168
Ce Tm Sc
1 12 7
Cartesian
0.000 0.000 0.000
-5.658 1.136 3.870
-3.813 -4.332 5.634
-3.182 -0.905 4.218
1.845 -5.468 3.870
-0.807 -3.208 5.286
-2.374 2.303 5.286
2.374 -2.303 4.218
0.807 3.208 4.218
-1.845 5.468 5.634
3.182 0.905 5.286
3.813 4.332 3.870
5.658 -1.136 5.634
-0.839 -1.905 2.384
-1.231 1.679 2.384
2.070 0.226 2.384
0.000 0.000 4.752
-2.070 -0.226 7.121
1.231 -1.679 7.121
0.839 1.905 7.121

=====

(12)
GGA-PBE La3DyTm2Sb6, relaxed; calculated volume = 32.01 Å³/atom; formation energy without anion corrections = -1176.7 meV per atom; DOS at the Fermi energy = 2.180 states/eV/cell
1.0
3.896 -6.747 0.000
3.896 6.747 0.000
-2.596 0.000 7.305
La Dy Tm Sb
3 1 2 6
Cartesian
0.000 0.000 0.000
3.896 2.241 0.000
3.896 -2.241 0.000
2.598 0.000 3.652
2.598 4.496 3.652
2.598 -4.496 3.652
1.292 2.261 1.939
-0.013 0.000 5.361
1.292 -2.261 1.939
3.905 2.261 5.365
5.210 0.000 1.944
3.905 -2.261 5.365

=====

(13)
GGA-PBE Na2SrBr4, relaxed; calculated volume = 39.79 Å³/atom; formation energy without anion corrections = -1616.9 meV per atom; energy relative to the lowest polymorph listed for this composition = 170.1 meV per atom; DOS at the Fermi energy = 0.000 states/eV/cell
1.0
-2.982 2.982 7.833
2.982 -2.982 7.833
2.982 2.982 -7.833
Na Sr Br
2 1 4
Cartesian
0.000 0.000 2.147
0.000 0.000 13.520
0.000 0.000 7.833
2.982 0.000 0.000
0.000 0.000 4.870
0.000 2.982 0.000
0.000 0.000 10.797

=====

(14)
GGA-PBE LaPOs2Br, relaxed; calculated volume = 30.06 Å³/atom; formation energy without anion corrections = 2388.7 meV per atom; DOS at the Fermi energy = 9.026 states/eV/cell
1.0
5.139 0.000 0.000
0.000 5.139 0.000
0.000 0.000 5.691
La P Os Br
1 1 2 1
Cartesian
0.000 0.000 0.000
0.000 0.000 2.845
0.000 2.569 0.000
2.569 0.000 0.000
2.569 2.569 2.845

=====

(15)
GGA-PBE ScTl2F11, relaxed; calculated volume = 15.60 Å³/atom; formation energy without anion corrections = -2016.8 meV per atom; DOS at the Fermi energy = 16.264 states/eV/cell
1.0
-4.103 5.045 5.275
4.103 -5.045 5.275
4.103 5.045 -5.275
Sc Tl F
2 4 22
Cartesian
0.000 0.000 2.638
0.000 0.000 7.913
5.503 1.930 0.000
1.401 3.115 0.000
2.702 1.930 5.275
-1.401 3.115 5.275
4.103 0.000 0.000
4.926 -3.300 3.638
1.599 -0.637 1.403
4.926 3.300 -1.637
3.253 1.906 0.000
6.606 0.637 1.403
2.503 4.408 -1.403
3.253 -1.906 5.275
0.823 1.745 1.637
1.599 0.637 3.872
4.926 3.300 1.637
0.000 5.045 0.000
-0.823 1.745 3.638
2.503 4.408 1.403
3.280 3.300 3.638
0.849 6.951 0.000
1.599 0.637 6.678
-2.503 4.408 3.872
0.849 3.139 5.275
-0.823 1.745 6.912
2.503 5.682 3.872
-0.823 8.344 1.637

=====

(16)
GGA-PBE P2IrSe, relaxed; calculated volume = 20.05 Å³/atom; formation energy without anion corrections = -35.2 meV per atom; DOS at the Fermi energy = 1.855 states/eV/cell
1.0
2.836 0.000 0.000
1.416 3.436 0.000
0.980 0.125 8.229
P Ir Se
2 1 1
Cartesian
0.000 0.000 0.000
0.980 0.141 5.505
3.814 2.149 6.781
0.957 0.097 3.284

=====

(17)
GGA-PBE Al4Cu15Sn, relaxed; calculated volume = 12.92 Å³/atom; energy of formation = -2.59 eV/f.u.; DOS at the Fermi energy = 5.754 states/eV/cell
1.0
3.726 0.000 0.000
0.000 3.726 0.000
0.000 0.000 18.613
Al Cu Sn
4 15 1
Cartesian
0.000 0.000 1.823
0.000 0.000 5.461
0.000 0.000 13.152
0.000 0.000 16.790
0.000 1.863 0.000
0.000 1.863 3.635
0.000 1.863 7.274
0.000 1.863 11.338
0.000 1.863 14.978
1.863 0.000 0.000
1.863 0.000 3.635
1.863 0.000 7.274
1.863 0.000 11.338
1.863 0.000 14.978
1.863 1.863 1.826
1.863 1.863 5.464
1.863 1.863 9.306
1.863 1.863 13.149
1.863 1.863 16.787
0.000 0.000 9.306

=====

(18)
GGA-PBE Pm3Zn2Ge3, relaxed; calculated volume = 22.12 Å³/atom; energy of formation = -5.30 eV/f.u.; energy relative to the lowest polymorph listed for this composition = 0.0 meV per atom; DOS at the Fermi energy = 7.067 states/eV/cell
1.0
2.145 -5.634 0.000
2.145 5.634 0.000
0.000 0.000 14.643
Pm Zn Ge
6 4 6
Cartesian
2.145 4.830 8.968
2.145 4.830 12.997
2.145 1.617 10.983
2.145 -1.617 3.661
2.145 -4.830 1.647
2.145 -4.830 5.675
2.145 3.077 1.409
2.145 3.077 5.913
2.145 -3.077 8.730
2.145 -3.077 13.235
2.145 1.637 3.661
2.145 1.358 7.965
2.145 1.358 14.000
2.145 -1.358 0.643
2.145 -1.358 6.679
2.145 -1.637 10.983

=====

(19)
GGA-PBE PuZnGe, relaxed; calculated volume = 20.21 Å³/atom; energy of formation = -0.92 eV/f.u.; DOS at the Fermi energy = 6.795 states/eV/cell
1.0
4.485 0.000 0.000
-2.243 3.884 0.000
0.000 0.000 3.479
Pu Zn Ge
1 1 1
Cartesian
0.000 0.000 0.000
2.243 1.295 1.740
0.000 2.590 1.740